Record 1
## LaPmTlGa (GGA-PBE)

Data for a relaxed structure of LaPmTlGa.

POSCAR file:
```
LaPmTlGa
1.0
3.767 0.000 0.000
0.000 3.767 0.000
0.000 0.000 7.902
Tl Pm La Ga
1 1 1 1
Direct
0.000 0.000 0.081 Tl
0.500 0.500 0.338 Pm
0.500 0.500 0.803 La
0.000 0.000 0.562 Ga
```

Calculated values
Excess energy over the best structure of this formula in the dataset: 0 meV/atom
Formation energy from the elements: -11.22 kcal/mol of atoms
Calculated volume: 112.1 Å³ per cell
DOS at the Fermi energy: 2.3 states/eV/cell

***

Record 2
## LaPmTlGa (GGA-PBE)

Data for a relaxed structure of LaPmTlGa.

POSCAR file:
```
LaPmTlGa
1.0
5.431 0.000 0.000
2.716 4.703 0.000
2.716 1.568 4.434
La Pm Tl Ga
1 1 1 1
Direct
0.500 0.500 0.500 La
0.000 0.000 0.000 Pm
0.750 0.750 0.750 Tl
0.250 0.250 0.250 Ga
```

Calculated values
Excess energy over the best structure of this formula in the dataset: 31 meV/atom
Formation energy from the elements: -10.50 kcal/mol of atoms
Calculated volume: 113.3 Å³ per cell
DOS at the Fermi energy: 2.4 states/eV/cell

***

Record 3
## La3Pm3Tl2Ga (GGA-PBE)

Data for a relaxed structure of La3Pm3Tl2Ga.

POSCAR file:
```
La3Pm3Tl2Ga
1.0
-0.718 0.439 3.801
8.491 -2.796 1.927
-1.694 8.885 -1.345
La Ga Tl Pm
3 1 2 3
Direct
0.500 0.733 0.000 La
0.500 0.267 0.267 La
0.500 0.000 0.733 La
0.000 0.000 0.000 Ga
0.500 0.333 0.667 Tl
0.500 0.667 0.333 Tl
0.000 0.392 0.000 Pm
0.000 0.000 0.392 Pm
0.000 0.608 0.608 Pm
```

Calculated values
Formation energy from the elements: -7.04 kcal/mol of atoms
Calculated volume: 281.9 Å³ per cell
DOS at the Fermi energy: 10.8 states/eV/cell

***

Record 4
## LaPmTmGa (GGA-PBE)

Data for a relaxed structure of LaPmTmGa.

POSCAR file:
```
LaPmTmGa
1.0
5.442 0.000 0.000
2.721 4.713 0.000
2.721 1.571 4.443
Ga Pm La Tm
1 1 1 1
Direct
0.500 0.500 0.500 Ga
0.750 0.750 0.750 Pm
0.250 0.250 0.250 La
0.000 0.000 0.000 Tm
```

Calculated values
Formation energy from the elements: -2.86 kcal/mol of atoms
Calculated volume: 114.0 Å³ per cell
DOS at the Fermi energy: 7.2 states/eV/cell

***

no.,total DFT energy (no corrections) (eV/atom)
1,-4.254
2,-4.223
3,-4.393
4,-4.418